A plane-wave DFT calculation with PBE was carried out for an optimized crystal structure of ScAgSb2.

Output
* formation energy (no corrections): -34.8 kJ/mol of atoms
* M_tot: 0.0 μB per cell

The structure in CIF format:
```
data_ScAgSb2
_space_group_name_H-M_alt 'P 4 m m'
_space_group_IT_number 99
_cell_length_a 4.0134
_cell_length_b 4.0134
_cell_length_c 5.9066
_cell_angle_alpha 90.00
_cell_angle_beta 90.00
_cell_angle_gamma 90.00
loop_
_space_group_symop_operation_xyz
'x,y,z'
'-y,x,z'
'-x,-y,z'
'y,-x,z'
'-x,y,z'
'y,x,z'
'x,-y,z'
'-y,-x,z'
loop_
_atom_site_label
_atom_site_type_symbol
_atom_site_fract_x
_atom_site_fract_y
_atom_site_fract_z
Sc1 Sc 0.0000 0.0000 0.0000
Ag1 Ag 0.5000 0.5000 0.3405
Sb1 Sb 0.0000 0.0000 0.4916
Sb2 Sb 0.5000 0.5000 0.8554
```